10
Lattice="4.550 0.000 0.000 0.000 4.550 0.000 0.000 0.000 10.714" Properties=species:S:1:pos:R:3 comment="Pr2MnSn3Pt4 | Alexandria via LeMat-Bulk | GGA-PBE | relaxed" volume_a3_per_atom=22.18 crystal_system=tetragonal formation_enthalpy_0k_ev_per_atom=-0.761 spacegroup="No. 115" pbc="T T T"
Pr 0.000 2.275 2.665
Pr 2.275 0.000 8.048
Mn 2.275 2.275 0.000
Sn 0.000 0.000 0.000
Sn 0.000 2.275 6.757
Sn 2.275 0.000 3.957
Pt 0.000 0.000 5.357
Pt 0.000 2.275 9.344
Pt 2.275 0.000 1.369
Pt 2.275 2.275 5.357